No. 1
First-principles (PBE) data for crystalline TiNiH3 at its relaxed geometry, as listed in the Alexandria database.

The structure in extended XYZ format:
```
5
Lattice="-0.978 2.190 -2.207 -2.351 -2.036 -0.978 -2.036 1.298 2.190" Properties=species:S:1:pos:R:3 pbc="T T T"
Ni 0.000 0.000 0.000
H -1.175 -1.018 -0.489
H -1.018 0.649 1.095
H -0.489 1.095 -1.104
Ti -2.682 0.726 -0.498
```

Computed properties:
- DOS at the Fermi energy: 0.59 states/eV/atom
- Total energy: -4.97 eV per atom
- Theoretical density: 5.3 g/cm³



No. 2
First-principles (PBE) data for crystalline Zn2IrRh2 at its relaxed geometry, as listed in the Alexandria database.

The structure in extended XYZ format:
```
10
Lattice="-6.947 0.606 -1.163 -0.756 -6.974 0.881 -0.443 0.409 2.859" Properties=species:S:1:pos:R:3 pbc="T T T"
Zn -6.266 -1.618 0.753
Zn -5.481 -5.206 1.388
Zn -1.881 -4.342 1.823
Zn -2.665 -0.753 1.188
Ir 0.000 0.000 0.000
Ir -3.852 -3.184 -0.141
Rh -1.201 -2.479 0.169
Rh -6.502 -3.889 -0.451
Rh -3.205 -5.825 0.337
Rh -4.498 -0.544 -0.619
```

Computed properties:
- DOS at the Fermi energy: 1.26 states/eV/atom
- Total energy: -5.15 eV per atom
- ΔH_f (0 K): 72 meV/atom
- Theoretical density: 12.0 g/cm³



No. 3
First-principles (PBE) data for crystalline Li4PmIn4 at its relaxed geometry, as listed in the Alexandria database.

The structure in extended XYZ format:
```
18
Lattice="6.303 0.000 0.000 0.000 6.303 0.000 0.000 0.000 9.928" Properties=species:S:1:pos:R:3 pbc="T T T"
In 1.678 0.000 2.843
In 3.152 1.474 7.807
In 1.474 3.152 2.121
In 0.000 1.678 7.085
In 4.830 3.152 2.121
In 0.000 4.626 7.085
In 3.152 4.830 7.807
In 4.626 0.000 2.843
Li 4.520 0.000 5.694
Li 0.000 4.520 4.234
Li 1.369 3.152 9.198
Li 0.000 1.783 4.234
Li 3.152 4.935 0.730
Li 3.152 1.369 0.730
Li 1.783 0.000 5.694
Li 4.935 3.152 9.198
Pm 0.000 0.000 0.000
Pm 3.152 3.152 4.964
```

Computed properties:
- DOS at the Fermi energy: 0.31 states/eV/atom
- Total energy: -2.84 eV per atom
- ΔH_f (0 K): -249 meV/atom
- Theoretical density: 5.3 g/cm³



- What is the formula in the third record?
  Li4PmIn4



What did the third record say?
First-principles (PBE) data for crystalline Li4PmIn4 at its relaxed geometry, as listed in the Alexandria database.

The structure in extended XYZ format:
```
18
Lattice="6.303 0.000 0.000 0.000 6.303 0.000 0.000 0.000 9.928" Properties=species:S:1:pos:R:3 pbc="T T T"
In 1.678 0.000 2.843
In 3.152 1.474 7.807
In 1.474 3.152 2.121
In 0.000 1.678 7.085
In 4.830 3.152 2.121
In 0.000 4.626 7.085
In 3.152 4.830 7.807
In 4.626 0.000 2.843
Li 4.520 0.000 5.694
Li 0.000 4.520 4.234
Li 1.369 3.152 9.198
Li 0.000 1.783 4.234
Li 3.152 4.935 0.730
Li 3.152 1.369 0.730
Li 1.783 0.000 5.694
Li 4.935 3.152 9.198
Pm 0.000 0.000 0.000
Pm 3.152 3.152 4.964
```

Computed properties:
- DOS at the Fermi energy: 0.31 states/eV/atom
- Total energy: -2.84 eV per atom
- ΔH_f (0 K): -249 meV/atom
- Theoretical density: 5.3 g/cm³



Repeat the second record exactly.
First-principles (PBE) data for crystalline Zn2IrRh2 at its relaxed geometry, as listed in the Alexandria database.

The structure in extended XYZ format:
```
10
Lattice="-6.947 0.606 -1.163 -0.756 -6.974 0.881 -0.443 0.409 2.859" Properties=species:S:1:pos:R:3 pbc="T T T"
Zn -6.266 -1.618 0.753
Zn -5.481 -5.206 1.388
Zn -1.881 -4.342 1.823
Zn -2.665 -0.753 1.188
Ir 0.000 0.000 0.000
Ir -3.852 -3.184 -0.141
Rh -1.201 -2.479 0.169
Rh -6.502 -3.889 -0.451
Rh -3.205 -5.825 0.337
Rh -4.498 -0.544 -0.619
```

Computed properties:
- DOS at the Fermi energy: 1.26 states/eV/atom
- Total energy: -5.15 eV per atom
- ΔH_f (0 K): 72 meV/atom
- Theoretical density: 12.0 g/cm³



- What is the formula in the second record?
  Zn2IrRh2